First-principles (PBE-GGA) data for an optimized crystal structure of RbAsW3, as listed in Alexandria via LeMat-Bulk.

The calculation puts the volume at 21.36 Å³/atom.

The space group is Pm-3m (No. 221) and the conventional cell measures 4.7445, 4.7445 and 4.7445 Å, with angles of 90.00, 90.00 and 90.00 degrees. Symmetry generates all atoms from Rb at (0.0000, 0.0000, 0.0000), As at (0.5000, 0.5000, 0.5000) and W at (0.0000, 0.0000, 0.5000).

***

First-principles (PBE-GGA) data for an optimized crystal structure of RbAs3W, as listed in Alexandria via LeMat-Bulk.

The calculation puts the volume at 27.74 Å³/atom.

The space group is Pm-3m (No. 221) and the conventional cell measures 5.1764, 5.1764 and 5.1764 Å, with angles of 90.00, 90.00 and 90.00 degrees. Symmetry generates all atoms from Rb at (0.0000, 0.0000, 0.0000), As at (0.0000, 0.0000, 0.5000) and W at (0.5000, 0.5000, 0.5000).

***

Asked for total magnetization across the records above, the calculation gives 0.00 0.00 μB/f.u. in order.
Asked for formation enthalpy at 0 K across the records above, the calculation gives 4011 2853 meV per atom in order.
Asked for energy relative to the lowest polymorph listed for this composition across the records above, the calculation gives 1.906 2.740 eV per atom in order.